Record 1
A plane-wave DFT calculation with GGA-PBE was carried out for crystalline Sc2TaBr at its relaxed geometry.

Unit cell a=6.766 b=7.946 c=3.158 alpha=90.00 beta=90.00 gamma=90.00
Space group Cmmm (No. 65)
Unique sites:
Sc (0.250, 0.250, 0.000) x4
Ta (0.000, 0.000, 0.500) x2
Br (0.000, 0.500, 0.500) x2

E above lowest polymorph, meV per atom: 325
Crystal system: orthorhombic
ΔE_f (raw), kcal/mol of atoms: 0.51

---

Record 2
A plane-wave DFT calculation with GGA-PBE was carried out for crystalline MgCr2Ir3 at its relaxed geometry.

Unit cell a=2.745 b=2.745 c=11.102 alpha=90.00 beta=90.00 gamma=90.00
Space group P4/mmm (No. 123)
Unique sites:
Mg (0.000, 0.000, 0.000) x1
Cr (0.000, 0.000, 0.336) x2
Ir (0.500, 0.500, 0.186) x2
Ir (0.500, 0.500, 0.500) x1

Crystal system: tetragonal
Formation enthalpy at 0 K, meV/atom: -238

---

Record 3
A plane-wave DFT calculation with GGA-PBE was carried out for crystalline Pr2TeS2 at its relaxed geometry.

Unit cell a=9.756 b=11.069 c=7.606 alpha=90.00 beta=129.73 gamma=90.00
Space group C2/c (No. 15)
Unique sites:
Pr (0.000, 0.084, 0.250) x4
Pr (0.000, 0.333, 0.750) x4
Te (0.000, 0.375, 0.250) x4
S (0.142, 0.125, 0.033) x8

E above lowest polymorph, meV per atom: 90
Crystal system: monoclinic
ΔE_f (raw), kcal/mol of atoms: -40.33

---

no.,volume (Å³/cell),density (g cm⁻³),final energy (eV/atom)
1,169.8,6.9,-6.53
2,83.7,14.0,-8.14
3,631.7,5.0,-5.94